No. 1
A plane-wave DFT calculation with PBE-GGA was carried out for an optimized crystal structure of CuPbCl2.

Computed properties:
total energy: -3.308 eV/atom
SG: Immm, No. 71
D(E_F): 0.82 states/eV per cell
uncorrected formation energy: -434.0 meV/atom
E above lowest polymorph: 0.0682 eV per atom
total magnetization: 0.0 Bohr magnetons per cell

Cell: 5.877 5.877 5.877 Å, 144.36 126.45 66.00°
Sites, in units of the cell vectors:
Cu (0.750, 0.250, 0.500)
Cl (0.916, 0.916, 0.000)
Cl (0.584, 0.584, 0.000)
Pb (0.250, 0.750, 0.500)

=====

No. 2
A plane-wave DFT calculation with PBE-GGA was carried out for an optimized crystal structure of CaTbHo2.

Computed properties:
total energy: -3.810 eV/atom
SG: P4/mmm, No. 123
D(E_F): 6.80 states/eV per cell
E above lowest polymorph: 0.0726 eV per atom
calculated formation energy: 137 meV per atom
total magnetization: 0.0 Bohr magnetons per cell

Cell: 5.101 5.080 5.080 Å, 90.00 90.00 90.00°
Sites, in units of the cell vectors:
Ho (0.000, 0.500, 0.000)
Ho (0.000, 0.000, 0.500)
Ca (0.500, 0.000, 0.000)
Tb (0.500, 0.500, 0.500)

=====

No. 3
A plane-wave DFT calculation with PBE-GGA was carried out for an optimized crystal structure of CsSbP.

Computed properties:
total energy: -3.595 eV/atom
SG: P3m1, No. 156
D(E_F): 1.77 states/eV per cell
uncorrected formation energy: -132.9 meV/atom
E above lowest polymorph: 0.1713 eV per atom
total magnetization: 0.0 Bohr magnetons per cell

Cell: 4.450 4.450 6.422 Å, 90.00 90.00 120.00°
Sites, in units of the cell vectors:
Cs (0.000, 0.000, 0.029)
Sb (0.333, 0.667, 0.556)
P (0.667, 0.333, 0.415)

=====

No. 4
A plane-wave DFT calculation with PBE-GGA was carried out for an optimized crystal structure of LaPrGeBr.

Computed properties:
total energy: -4.983 eV/atom
SG: F-43m, No. 216
D(E_F): 2.21 states/eV per cell
uncorrected formation energy: -983.5 meV/atom
E above lowest polymorph: 0.0000 eV per atom
total magnetization: 0.0 Bohr magnetons per cell

Cell: 5.327 5.327 5.327 Å, 60.00 60.00 60.00°
Sites, in units of the cell vectors:
La (0.750, 0.750, 0.750)
Pr (0.250, 0.250, 0.250)
Ge (0.000, 0.000, 0.000)
Br (0.500, 0.500, 0.500)

=====

No. 5
A plane-wave DFT calculation with PBE-GGA was carried out for an optimized crystal structure of Na2H2SI2.

Computed properties:
total energy: -2.930 eV/atom
SG: P-1, No. 2
D(E_F): 0.00 states/eV per cell
total magnetization: 0.0 Bohr magnetons per cell

Cell: 4.323 7.217 8.304 Å, 49.83 79.80 67.89°
Sites, in units of the cell vectors:
H (0.042, 0.710, 0.144)
H (0.958, 0.290, 0.856)
I (0.028, 0.351, 0.336)
I (0.972, 0.649, 0.664)
Na (0.450, 0.937, 0.263)
Na (0.550, 0.063, 0.737)
S (0.000, 0.000, 0.000)

=====

No. 6
A plane-wave DFT calculation with PBE-GGA was carried out for an optimized crystal structure of CaMgZn2Au4.

Computed properties:
total energy: -2.874 eV/atom
SG: R-3m, No. 166
D(E_F): 2.07 states/eV per cell
calculated formation energy: -467 meV per atom
total magnetization: 0.0 Bohr magnetons per cell

Cell: 4.563 4.563 8.893 Å, 75.14 75.14 60.00°
Sites, in units of the cell vectors:
Au (0.605, 0.605, 0.184)
Au (0.873, 0.873, 0.380)
Au (0.395, 0.395, 0.816)
Au (0.127, 0.127, 0.620)
Mg (0.500, 0.500, 0.500)
Ca (0.000, 0.000, 0.000)
Zn (0.756, 0.756, 0.733)
Zn (0.244, 0.244, 0.267)

=====

No. 7
A plane-wave DFT calculation with PBE-GGA was carried out for an optimized crystal structure of Tb3CePr4Se8.

Computed properties:
total energy: -5.994 eV/atom
SG: R-3m, No. 166
D(E_F): 12.61 states/eV per cell
uncorrected formation energy: -1818.0 meV/atom
total magnetization: 0.8 Bohr magnetons per cell

Cell: 8.350 8.427 8.351 Å, 119.70 120.00 90.00°
Each line ends with the local moment (μB).
Sites, in units of the cell vectors:
Se (0.258, 0.263, 0.010)  0.00
Se (0.745, 0.734, 0.490)  0.00
Se (0.248, 0.737, 0.495)  0.00
Se (0.248, 0.737, 0.990)  0.00
Se (0.742, 0.737, 0.990)  0.00
Se (0.752, 0.263, 0.010)  0.00
Se (0.752, 0.263, 0.505)  0.00
Se (0.255, 0.266, 0.510)  0.00
Pr (0.000, 0.000, 0.500)  0.01
Pr (0.500, 0.000, 0.500)  0.01
Pr (0.500, 0.000, 0.000)  -0.01
Pr (0.000, 0.000, 0.000)  0.01
Tb (0.500, 0.500, 0.500)  0.01
Tb (0.500, 0.500, 0.000)  0.01
Tb (0.000, 0.500, 0.500)  0.01
Ce (0.000, 0.500, 0.000)  0.60

=====

No. 8
A plane-wave DFT calculation with PBE-GGA was carried out for an optimized crystal structure of BeAs2PbSe.

Computed properties:
total energy: -3.791 eV/atom
SG: P4/mmm, No. 123
D(E_F): 2.65 states/eV per cell
uncorrected formation energy: 252.7 meV/atom
E above lowest polymorph: 0.0000 eV per atom
total magnetization: 0.0 Bohr magnetons per cell

Cell: 4.604 4.604 5.368 Å, 90.00 90.00 90.00°
Sites, in units of the cell vectors:
Pb (0.500, 0.500, 0.500)
As (0.500, 0.000, 0.000)
As (0.000, 0.500, 0.000)
Be (0.000, 0.000, 0.000)
Se (0.000, 0.000, 0.500)

=====

No. 9
A plane-wave DFT calculation with PBE-GGA was carried out for an optimized crystal structure of La2Rh3Pb.

Computed properties:
total energy: -6.421 eV/atom
SG: P6_3/mmc, No. 194
D(E_F): 8.91 states/eV per cell
calculated formation energy: -484 meV per atom
total magnetization: 0.0 Bohr magnetons per cell

Cell: 4.561 4.561 15.852 Å, 90.00 90.00 120.00°
Sites, in units of the cell vectors:
Pb (0.667, 0.333, 0.750)
Pb (0.333, 0.667, 0.250)
Rh (0.333, 0.667, 0.003)
Rh (0.333, 0.667, 0.750)
Rh (0.333, 0.667, 0.497)
Rh (0.667, 0.333, 0.250)
Rh (0.667, 0.333, 0.503)
Rh (0.667, 0.333, 0.997)
La (0.000, 0.000, 0.885)
La (0.000, 0.000, 0.385)
La (0.000, 0.000, 0.615)
La (0.000, 0.000, 0.115)

=====

No. 10
A plane-wave DFT calculation with PBE-GGA was carried out for an optimized crystal structure of Ce2Co3Ge4Ir.

Computed properties:
total energy: -6.692 eV/atom
SG: P-4m2, No. 115
D(E_F): 8.92 states/eV per cell
calculated formation energy: -641 meV per atom
total magnetization: 0.6 Bohr magnetons per cell

Cell: 4.109 4.109 9.864 Å, 90.00 90.00 90.00°
Each line ends with the local moment (μB).
Sites, in units of the cell vectors:
Ge (0.000, 0.500, 0.363)  0.00
Ge (0.000, 0.000, 0.000)  0.00
Ge (0.500, 0.000, 0.637)  0.00
Ge (0.500, 0.500, 0.000)  0.00
Co (0.500, 0.000, 0.875)  -0.02
Co (0.000, 0.500, 0.125)  -0.02
Co (0.000, 0.000, 0.500)  0.00
Ce (0.000, 0.500, 0.758)  0.25
Ce (0.500, 0.000, 0.242)  0.25
Ir (0.500, 0.500, 0.500)  0.01

=====

No. 11
A plane-wave DFT calculation with PBE-GGA was carried out for an optimized crystal structure of LiTmCu2Ge2.

Computed properties:
total energy: -4.428 eV/atom
SG: P-3m1, No. 164
D(E_F): 3.27 states/eV per cell
calculated formation energy: -459 meV per atom
total magnetization: 0.0 Bohr magnetons per cell

Cell: 4.162 4.162 6.491 Å, 90.00 90.00 120.00°
Sites, in units of the cell vectors:
Ge (0.333, 0.667, 0.273)
Ge (0.667, 0.333, 0.727)
Tm (0.000, 0.000, 0.000)
Cu (0.333, 0.667, 0.678)
Cu (0.667, 0.333, 0.322)
Li (0.000, 0.000, 0.500)

=====

No. 12
A plane-wave DFT calculation with PBE-GGA was carried out for an optimized crystal structure of Li2La2Pb3.

Computed properties:
total energy: -4.072 eV/atom
SG: Cmcm, No. 63
D(E_F): 3.17 states/eV per cell
calculated formation energy: -528 meV per atom
total magnetization: 0.0 Bohr magnetons per cell

Cell: 4.868 7.594 10.641 Å, 90.00 103.22 90.00°
Sites, in units of the cell vectors:
La (0.842, 0.750, 0.684)
La (0.158, 0.250, 0.316)
La (0.953, 0.250, 0.905)
La (0.047, 0.750, 0.095)
Pb (0.781, 0.250, 0.562)
Pb (0.571, 0.049, 0.141)
Pb (0.429, 0.549, 0.859)
Pb (0.429, 0.951, 0.859)
Pb (0.571, 0.451, 0.141)
Pb (0.219, 0.750, 0.438)
Li (0.303, 0.063, 0.605)
Li (0.697, 0.937, 0.395)
Li (0.303, 0.437, 0.605)
Li (0.697, 0.563, 0.395)